# 1
# RbLi2Ca | the Alexandria database | PBEsol | relaxed
# calculated formation energy: 311 meV/atom
# density of states at the Fermi level: 2.85 states/eV/f.u.
data_RbLi2Ca
_cell_length_a 9.192
_cell_length_b 9.192
_cell_length_c 7.479
_cell_angle_alpha 90.00
_cell_angle_beta 90.00
_cell_angle_gamma 90.00
_space_group_name_H-M_alt 'I -4 2 d'
_space_group_IT_number 122
_space_group_name_Hall 'I -4 2bw'
loop_
_atom_site_label
_atom_site_type_symbol
_atom_site_fract_x
_atom_site_fract_y
_atom_site_fract_z
_atom_site_occupancy
Rb1 Rb 0.000 0.000 0.000 1
Li1 Li 0.241 0.250 0.625 1
Ca1 Ca 0.000 0.000 0.500 1

# 2
# ScMn3 | the Alexandria database | PBEsol | relaxed
# calculated formation energy: 438 meV/atom
# density of states at the Fermi level: 5.55 states/eV/f.u.
data_ScMn3
_cell_length_a 2.6557
_cell_length_b 2.6557
_cell_length_c 24.8436
_cell_angle_alpha 90.00
_cell_angle_beta 90.00
_cell_angle_gamma 120.00
_space_group_name_H-M_alt 'R -3 m'
_space_group_IT_number 166
_space_group_name_Hall '-R 3 2"'
loop_
_atom_site_label
_atom_site_type_symbol
_atom_site_fract_x
_atom_site_fract_y
_atom_site_fract_z
_atom_site_occupancy
Sc1 Sc 0.0000 0.0000 0.0000 1
Mn1 Mn 0.0000 0.0000 0.2411 1
Mn2 Mn 0.0000 0.0000 0.5000 1